# Tl2Cu2Pd5Au

A relaxed Tl2Cu2Pd5Au crystal (PBE, the Alexandria database).

```
Tl2Cu2Pd5Au
1.0
9.228 0.000 0.000
0.000 9.228 0.000
0.000 0.000 4.035
Tl Cu Pd Au
4 4 10 2
Direct
0.172 0.328 0.000 Tl
0.328 0.828 0.000 Tl
0.672 0.172 0.000 Tl
0.828 0.672 0.000 Tl
0.124 0.624 0.000 Cu
0.376 0.124 0.000 Cu
0.624 0.876 0.000 Cu
0.876 0.376 0.000 Cu
0.000 0.500 0.500 Pd
0.086 0.803 0.500 Pd
0.197 0.086 0.500 Pd
0.303 0.586 0.500 Pd
0.414 0.303 0.500 Pd
0.500 0.000 0.500 Pd
0.586 0.697 0.500 Pd
0.697 0.414 0.500 Pd
0.803 0.914 0.500 Pd
0.914 0.197 0.500 Pd
0.000 0.000 0.000 Au
0.500 0.500 0.000 Au
```

Calculated values
Electronic total energy (eV per atom): -4.273
Formation energy (eV per atom): -0.06
Density (kg/m3): 12228